Record 1
# La4TcAu

A geometry-optimized La4TcAu structure (PBE, the Alexandria database).

Energy of formation from the pure elements ... -1.95 eV per formula unit
Magnetic moment ... 0.00 μB/cell
Final energy ... -5.884 eV/atom

Lattice parameters (Å, degrees): 7.841 7.841 6.510 98.32 98.32 111.98
Fractional positions:
La 0.062 0.725 0.965
La 0.218 0.376 0.582
La 0.275 0.938 0.535
La 0.376 0.218 0.082
La 0.624 0.782 0.918
La 0.725 0.062 0.465
La 0.782 0.624 0.418
La 0.938 0.275 0.035
Tc 0.001 0.999 0.250
Tc 0.999 0.001 0.750
Au 0.374 0.626 0.250
Au 0.626 0.374 0.750

---

Record 2
# LaTcAu

A geometry-optimized LaTcAu structure (PBE, the Alexandria database).

Energy of formation from the pure elements ... 2.48 eV per formula unit
Magnetic moment ... 6.87 μB/cell
Final energy ... -5.363 eV/atom

Lattice parameters (Å, degrees): 6.767 6.767 6.767 90.00 90.00 90.00
Fractional positions:
La 0.000 0.000 0.000
La 0.000 0.500 0.500
La 0.500 0.000 0.500
La 0.500 0.500 0.000
Tc 0.250 0.250 0.250
Tc 0.250 0.750 0.750
Tc 0.750 0.250 0.750
Tc 0.750 0.750 0.250
Au 0.250 0.250 0.750
Au 0.250 0.750 0.250
Au 0.750 0.250 0.250
Au 0.750 0.750 0.750

---

Record 3
# LaTcAu

A geometry-optimized LaTcAu structure (PBE, the Alexandria database).

Energy of formation from the pure elements ... 1.54 eV per formula unit
Magnetic moment ... 0.00 μB/cell
Final energy ... -5.676 eV/atom

Lattice parameters (Å, degrees): 2.973 2.973 7.929 90.00 90.00 120.00
Fractional positions:
La 0.000 0.000 0.000
Tc 0.667 0.333 0.348
Au 0.333 0.667 0.636

---

Record 4
# La6Tc2Au

A geometry-optimized La6Tc2Au structure (PBE, the Alexandria database).

Energy of formation from the pure elements ... -1.72 eV per formula unit
Magnetic moment ... 0.00 μB/cell
Final energy ... -6.143 eV/atom

Lattice parameters (Å, degrees): 8.790 8.790 8.790 111.05 110.81 106.59
Fractional positions:
La 0.012 0.828 0.184
La 0.237 0.542 0.304
La 0.237 0.933 0.696
La 0.279 0.315 0.594
La 0.279 0.685 0.964
La 0.356 0.172 0.184
La 0.644 0.828 0.816
La 0.721 0.315 0.036
La 0.721 0.685 0.406
La 0.763 0.067 0.304
La 0.763 0.458 0.696
La 0.988 0.172 0.816
Tc 0.000 0.178 0.178
Tc 0.000 0.822 0.822
Tc 0.385 0.385 0.000
Tc 0.615 0.615 0.000
Au 0.000 0.500 0.500
Au 0.500 0.000 0.500

---

Record 5
# LaTc2Au

A geometry-optimized LaTc2Au structure (PBE, the Alexandria database).

Energy of formation from the pure elements ... 0.60 eV per formula unit
Magnetic moment ... 0.00 μB/cell
Final energy ... -7.084 eV/atom

Lattice parameters (Å, degrees): 9.436 3.938 5.229 90.00 109.91 90.00
Fractional positions:
La 0.000 0.000 0.000
La 0.500 0.500 0.000
Tc 0.229 0.000 0.608
Tc 0.271 0.500 0.392
Tc 0.729 0.500 0.608
Tc 0.771 0.000 0.392
Au 0.000 0.500 0.500
Au 0.500 0.000 0.500

---

Record 6
# LaTcAu4

A geometry-optimized LaTcAu4 structure (PBE, the Alexandria database).

Energy of formation from the pure elements ... 0.08 eV per formula unit
Magnetic moment ... 2.75 μB/cell
Final energy ... -4.721 eV/atom

Lattice parameters (Å, degrees): 5.598 5.598 5.598 60.00 60.00 60.00
Fractional positions:
La 0.000 0.000 0.000
Tc 0.750 0.750 0.750
Au 0.376 0.376 0.376
Au 0.376 0.376 0.873
Au 0.376 0.873 0.376
Au 0.873 0.376 0.376

---

Record 7
# LaTc2Au2

A geometry-optimized LaTc2Au2 structure (PBE, the Alexandria database).

Energy of formation from the pure elements ... 1.72 eV per formula unit
Magnetic moment ... 0.51 μB/cell
Final energy ... -6.099 eV/atom

Lattice parameters (Å, degrees): 8.280 8.280 2.782 90.00 90.00 90.00
Fractional positions:
La 0.000 0.000 0.000
La 0.500 0.500 0.000
Tc 0.175 0.325 0.500
Tc 0.325 0.825 0.500
Tc 0.675 0.175 0.500
Tc 0.825 0.675 0.500
Au 0.123 0.623 0.000
Au 0.377 0.123 0.000
Au 0.623 0.877 0.000
Au 0.877 0.377 0.000

---

Record 8
# LaTcAu2

A geometry-optimized LaTcAu2 structure (PBE, the Alexandria database).

Energy of formation from the pure elements ... 1.56 eV per formula unit
Magnetic moment ... 4.25 μB/cell
Final energy ... -5.072 eV/atom

Lattice parameters (Å, degrees): 3.035 3.035 30.085 90.00 90.00 120.00
Fractional positions:
La 0.000 0.000 0.000
La 0.333 0.667 0.667
La 0.667 0.333 0.333
Tc 0.000 0.000 0.500
Tc 0.333 0.667 0.167
Tc 0.667 0.333 0.833
Au 0.000 0.000 0.240
Au 0.000 0.000 0.760
Au 0.333 0.667 0.427
Au 0.333 0.667 0.907
Au 0.667 0.333 0.093
Au 0.667 0.333 0.573

---

Record 9
# LaTc2Au

A geometry-optimized LaTc2Au structure (PBE, the Alexandria database).

Energy of formation from the pure elements ... 2.38 eV per formula unit
Magnetic moment ... 0.00 μB/cell
Final energy ... -6.639 eV/atom

Lattice parameters (Å, degrees): 2.806 2.806 9.466 90.00 90.00 90.00
Fractional positions:
La 0.000 0.000 0.000
Tc 0.500 0.500 0.279
Tc 0.500 0.500 0.721
Au 0.000 0.000 0.500

---

Record 10
# LaTc2Au

A geometry-optimized LaTc2Au structure (PBE, the Alexandria database).

Energy of formation from the pure elements ... 0.90 eV per formula unit
Magnetic moment ... 0.00 μB/cell
Final energy ... -7.009 eV/atom

Lattice parameters (Å, degrees): 3.898 4.780 8.696 90.00 90.00 90.00
Fractional positions:
La 0.000 0.000 0.000
La 0.500 0.500 0.500
Tc 0.000 0.000 0.434
Tc 0.000 0.500 0.763
Tc 0.500 0.000 0.263
Tc 0.500 0.500 0.934
Au 0.000 0.500 0.221
Au 0.500 0.000 0.721

---

Record 11
# LaTc2Au

A geometry-optimized LaTc2Au structure (PBE, the Alexandria database).

Energy of formation from the pure elements ... 2.20 eV per formula unit
Magnetic moment ... 11.70 μB/cell
Final energy ... -6.684 eV/atom

Lattice parameters (Å, degrees): 6.716 6.716 6.716 90.00 90.00 90.00
Fractional positions:
La 0.000 0.000 0.000
La 0.000 0.500 0.500
La 0.500 0.000 0.500
La 0.500 0.500 0.000
Tc 0.250 0.250 0.250
Tc 0.250 0.250 0.750
Tc 0.250 0.750 0.250
Tc 0.250 0.750 0.750
Tc 0.750 0.250 0.250
Tc 0.750 0.250 0.750
Tc 0.750 0.750 0.250
Tc 0.750 0.750 0.750
Au 0.000 0.000 0.500
Au 0.000 0.500 0.000
Au 0.500 0.000 0.000
Au 0.500 0.500 0.500

---

Record 12
# La6TcAu2

A geometry-optimized La6TcAu2 structure (PBE, the Alexandria database).

Energy of formation from the pure elements ... -3.35 eV per formula unit
Magnetic moment ... 0.00 μB/cell
Final energy ... -5.538 eV/atom

Lattice parameters (Å, degrees): 7.045 7.731 12.397 90.00 120.77 90.00
Fractional positions:
La 0.110 0.034 0.250
La 0.110 0.466 0.750
La 0.236 0.686 0.066
La 0.236 0.814 0.566
La 0.378 0.189 0.060
La 0.378 0.311 0.560
La 0.622 0.689 0.440
La 0.622 0.811 0.940
La 0.764 0.186 0.434
La 0.764 0.314 0.934
La 0.890 0.534 0.250
La 0.890 0.966 0.750
Tc 0.000 0.000 0.000
Tc 0.000 0.500 0.500
Au 0.322 0.106 0.767
Au 0.322 0.394 0.267
Au 0.678 0.606 0.733
Au 0.678 0.894 0.233

---

Record 13
# LaTc2Au

A geometry-optimized LaTc2Au structure (PBE, the Alexandria database).

Energy of formation from the pure elements ... 1.47 eV per formula unit
Magnetic moment ... 1.73 μB/cell
Final energy ... -6.867 eV/atom

Lattice parameters (Å, degrees): 2.933 2.933 30.247 90.00 90.00 120.00
Fractional positions:
La 0.000 0.000 0.000
La 0.333 0.667 0.667
La 0.667 0.333 0.333
Tc 0.000 0.000 0.241
Tc 0.000 0.000 0.508
Tc 0.333 0.667 0.175
Tc 0.333 0.667 0.907
Tc 0.667 0.333 0.574
Tc 0.667 0.333 0.842
Au 0.000 0.000 0.762
Au 0.333 0.667 0.429
Au 0.667 0.333 0.095

---

Record 14
# LaTc2Au

A geometry-optimized LaTc2Au structure (PBE, the Alexandria database).

Energy of formation from the pure elements ... 2.11 eV per formula unit
Magnetic moment ... 0.00 μB/cell
Final energy ... -6.707 eV/atom

Lattice parameters (Å, degrees): 6.072 8.952 2.748 90.00 90.00 90.00
Fractional positions:
La 0.000 0.000 0.000
La 0.500 0.500 0.000
Tc 0.250 0.250 0.500
Tc 0.250 0.750 0.500
Tc 0.750 0.250 0.500
Tc 0.750 0.750 0.500
Au 0.000 0.500 0.000
Au 0.500 0.000 0.000

---

Record 15
# LaTc2Au

A geometry-optimized LaTc2Au structure (PBE, the Alexandria database).

Energy of formation from the pure elements ... 1.96 eV per formula unit
Magnetic moment ... 2.14 μB/cell
Final energy ... -6.745 eV/atom

Lattice parameters (Å, degrees): 3.275 5.055 9.226 90.00 90.00 90.00
Fractional positions:
La 0.000 0.000 0.000
La 0.500 0.500 0.500
Tc 0.000 0.500 0.249
Tc 0.000 0.500 0.751
Tc 0.500 0.000 0.251
Tc 0.500 0.000 0.749
Au 0.000 0.000 0.500
Au 0.500 0.500 0.000

---

Record 16
# LaTcAu2

A geometry-optimized LaTcAu2 structure (PBE, the Alexandria database).

Energy of formation from the pure elements ... -0.31 eV per formula unit
Magnetic moment ... 1.42 μB/cell
Final energy ... -5.539 eV/atom

Lattice parameters (Å, degrees): 4.298 4.298 4.421 90.00 90.00 90.00
Fractional positions:
La 0.000 0.000 0.000
Tc 0.500 0.500 0.000
Au 0.000 0.500 0.500
Au 0.500 0.000 0.500

---

Record 17
# LaTc2Au

A geometry-optimized LaTc2Au structure (PBE, the Alexandria database).

Energy of formation from the pure elements ... 1.57 eV per formula unit
Magnetic moment ... 0.00 μB/cell
Final energy ... -6.841 eV/atom

Lattice parameters (Å, degrees): 4.151 4.151 4.489 90.00 90.00 90.00
Fractional positions:
La 0.000 0.000 0.000
Tc 0.000 0.500 0.500
Tc 0.500 0.000 0.500
Au 0.500 0.500 0.000

---

Record 18
# La5Tc2Au2

A geometry-optimized La5Tc2Au2 structure (PBE, the Alexandria database).

Energy of formation from the pure elements ... -2.88 eV per formula unit
Magnetic moment ... 0.00 μB/cell
Final energy ... -6.089 eV/atom

Lattice parameters (Å, degrees): 9.058 9.058 7.790 90.00 90.00 50.76
Fractional positions:
La 0.000 0.000 0.000
La 0.049 0.687 0.681
La 0.187 0.549 0.181
La 0.313 0.951 0.681
La 0.451 0.813 0.181
La 0.500 0.500 0.500
La 0.549 0.187 0.819
La 0.687 0.049 0.319
La 0.813 0.451 0.819
La 0.951 0.313 0.319
Tc 0.126 0.874 0.409
Tc 0.374 0.626 0.909
Tc 0.626 0.374 0.091
Tc 0.874 0.126 0.591
Au 0.216 0.216 0.000
Au 0.284 0.284 0.500
Au 0.716 0.716 0.500
Au 0.784 0.784 0.000

---

Record 19
# La4TcAu

A geometry-optimized La4TcAu structure (PBE, the Alexandria database).

Energy of formation from the pure elements ... 4.20 eV per formula unit
Magnetic moment ... 0.01 μB/cell
Final energy ... -4.859 eV/atom

Lattice parameters (Å, degrees): 6.168 6.168 6.168 60.00 60.00 60.00
Fractional positions:
La 0.124 0.124 0.124
La 0.124 0.124 0.627
La 0.124 0.627 0.124
La 0.627 0.124 0.124
Tc 0.750 0.750 0.750
Au 0.500 0.500 0.500

---

Record 20
# LaTc2Au

A geometry-optimized LaTc2Au structure (PBE, the Alexandria database).

Energy of formation from the pure elements ... 2.60 eV per formula unit
Magnetic moment ... 0.00 μB/cell
Final energy ... -6.585 eV/atom

Lattice parameters (Å, degrees): 3.227 4.977 9.102 90.00 90.00 90.00
Fractional positions:
La 0.000 0.000 0.000
La 0.500 0.500 0.000
Tc 0.000 0.500 0.254
Tc 0.000 0.500 0.746
Tc 0.500 0.000 0.254
Tc 0.500 0.000 0.746
Au 0.000 0.000 0.500
Au 0.500 0.500 0.500